VASP calculation (PBE+U) on RbVIO2 after structural relaxation.

Results
Relative energy among the computed polymorphs, eV/atom: 0.0000
SG: P4/mmm, No. 123
Magnetization, μB/f.u.: 1.0

a b c (Å): 4.2576 4.2576 5.6783
angles (deg): 90.00 90.00 90.00
Last column: nearest neighbours and their distance in Å.
Atoms (fractional coordinates):
1 Rb 0.0000 0.0000 0.0000  4 I 3.01
2 V 0.5000 0.5000 0.5000  4 O 2.13
3 I 0.5000 0.5000 0.0000  2 V 2.84, 4 Rb 3.01
4 O 0.0000 0.5000 0.5000  2 V 2.13
5 O 0.5000 0.0000 0.5000  2 V 2.13